Ca5Y: relaxed, GGA-PBE.

The calculation puts the energy relative to the lowest polymorph listed for this composition at 0 meV per atom. The formation energy is 0.0544 eV per atom.

a = 3.825 Å, b = 3.825 Å, c = 16.403 Å
α = 90.00°, β = 90.00°, γ = 90.00°
Space group P4/mmm (No. 123)
Inequivalent atoms, fractional coordinates:
Ca: 0.000 0.000 0.000
Ca: 0.000 0.000 0.345
Ca: 0.500 0.500 0.172
Y: 0.500 0.500 0.500

MnCuRu2: relaxed, GGA-PBE.

The formation energy is 0.1993 eV per atom.

a = 3.773 Å, b = 3.773 Å, c = 7.406 Å
α = 90.00°, β = 90.00°, γ = 90.00°
Space group I4/mmm (No. 139)
Inequivalent atoms, fractional coordinates:
Mn: 0.000 0.000 0.000
Cu: 0.000 0.000 0.500
Ru: 0.000 0.500 0.250

Co2SiPd2: relaxed, GGA-PBE.

The uncorrected formation energy comes out at -7.0 kJ/mol of atoms.

a = 5.788 Å, b = 5.788 Å, c = 4.006 Å
α = 90.00°, β = 90.00°, γ = 90.00°
Space group P4/mbm (No. 127)
Inequivalent atoms, fractional coordinates:
Co: 0.136 0.364 0.000
Si: 0.000 0.000 0.000
Pd: 0.168 0.668 0.500

TiAsH3: relaxed, GGA-PBE.

The calculation puts the energy relative to the lowest polymorph listed for this composition at 525 meV per atom.

a = 3.626 Å, b = 3.626 Å, c = 3.626 Å
α = 90.00°, β = 90.00°, γ = 90.00°
Space group Pm-3m (No. 221)
Inequivalent atoms, fractional coordinates:
Ti: 0.000 0.000 0.000
As: 0.500 0.500 0.500
H: 0.000 0.500 0.500

CaY4Co: relaxed, GGA-PBE.

The formation energy is 0.7004 eV per atom.

a = 9.115 Å, b = 9.115 Å, c = 9.115 Å
α = 90.00°, β = 90.00°, γ = 90.00°
Space group F-43m (No. 216)
Inequivalent atoms, fractional coordinates:
Ca: 0.000 0.000 0.000
Y: 0.124 0.124 0.376
Co: 0.250 0.250 0.750

GdHoAg: relaxed, GGA-PBE.

The calculation puts the energy relative to the lowest polymorph listed for this composition at 163 meV per atom. The formation energy is -0.0279 eV per atom.

a = 5.0585 Å, b = 5.0585 Å, c = 3.6457 Å
α = 90.00°, β = 90.00°, γ = 120.00°
Space group P3m1 (No. 156)
Inequivalent atoms, fractional coordinates:
Gd: 0.0000 0.0000 0.0000
Ho: 0.3333 0.6667 0.5470
Ag: 0.6667 0.3333 0.3099